# 1
# BeGaCo2I

BeGaCo2I at its PBEsol-relaxed geometry (meta-GGA SCAN, Alexandria via LeMat-Bulk). Values from VASP.

```
&SYSTEM
  ibrav = 0, nat = 5, ntyp = 4
/
ATOMIC_SPECIES
Co 58.93 Co.upf
Ga 69.72 Ga.upf
Be 9.01 Be.upf
I 126.90 I.upf
ATOMIC_POSITIONS crystal
Co 0.000 0.500 0.000
Co 0.500 0.000 0.000
Ga 0.000 0.000 0.500
Be 0.500 0.500 0.500
I 0.000 0.000 0.000
CELL_PARAMETERS angstrom
-0.767 1.959 -4.019
-1.486 -3.958 -1.646
-5.241 1.290 1.629
```

Magnetization = 2.67 μB/cell
SG = P4/mmm, No. 123

---

# 2
# BeCo2Ge

BeCo2Ge at its PBEsol-relaxed geometry (meta-GGA SCAN, Alexandria via LeMat-Bulk). Values from VASP.

```
&SYSTEM
  ibrav = 0, nat = 4, ntyp = 3
/
ATOMIC_SPECIES
Ge 72.64 Ge.upf
Be 9.01 Be.upf
Co 58.93 Co.upf
ATOMIC_POSITIONS crystal
Ge 0.500 0.500 0.500
Be 0.000 0.000 0.000
Co 0.750 0.750 0.750
Co 0.250 0.250 0.250
CELL_PARAMETERS angstrom
3.838 0.000 0.000
1.919 3.323 0.000
1.919 1.108 3.133
```

DFT formation energy = -296 meV per atom
ΔE to the lowest computed polymorph = 0 meV per atom
Magnetization = 0.32 μB/cell
SG = Fm-3m, No. 225

---

# 3
# BeCo2Ge

BeCo2Ge at its PBEsol-relaxed geometry (meta-GGA SCAN, Alexandria via LeMat-Bulk). Values from VASP.

```
&SYSTEM
  ibrav = 0, nat = 4, ntyp = 3
/
ATOMIC_SPECIES
Ge 72.64 Ge.upf
Co 58.93 Co.upf
Be 9.01 Be.upf
ATOMIC_POSITIONS crystal
Ge 0.000 0.000 0.500
Co 0.500 0.500 0.761
Co 0.500 0.500 0.239
Be 0.000 0.000 0.000
CELL_PARAMETERS angstrom
2.759 0.000 0.000
0.000 2.759 0.000
0.000 0.000 5.269
```

DFT formation energy = -178 meV per atom
ΔE to the lowest computed polymorph = 118 meV per atom
Magnetization = 0.44 μB/cell
SG = P4/mmm, No. 123

---

# 4
# BeCo2NiGe

BeCo2NiGe at its PBEsol-relaxed geometry (meta-GGA SCAN, Alexandria via LeMat-Bulk). Values from VASP.

```
&SYSTEM
  ibrav = 0, nat = 5, ntyp = 4
/
ATOMIC_SPECIES
Co 58.93 Co.upf
Ni 58.69 Ni.upf
Be 9.01 Be.upf
Ge 72.64 Ge.upf
ATOMIC_POSITIONS crystal
Co 0.000 0.000 0.500
Co 0.000 0.500 0.000
Ni 0.000 0.000 0.000
Be 0.500 0.500 0.500
Ge 0.500 0.000 0.000
CELL_PARAMETERS angstrom
-3.383 1.433 2.041
-2.259 -0.200 -3.603
-1.131 -3.997 0.931
```

DFT formation energy = 945 meV per atom
Magnetization = 4.60 μB/cell
SG = P4/mmm, No. 123

---

Number 1: electronic total energy -83.6 eV/cell. Number 2: electronic total energy -59.2 eV/cell. Number 3: electronic total energy -58.8 eV/cell. Number 4: electronic total energy -69.5 eV/cell.